No. 1
Sr2BPd6Pb: optimized geometry, PBE-GGA.

Total DFT energy (no corrections) in eV/atom: -5.003

abc: 6.0139 7.5921 8.9461
angles: 90.00 90.00 90.00
Last column: nearest neighbours and their distance in Å.
Fractional positions:
Pd  0.2688  0.0076  0.0000  1 B 2.09
Pd  0.5000  0.1366  0.7356  1 B 2.12
Sr  0.0000  0.2853  0.7812  7 Pd 3.06-3.30
B  0.5000  0.1672  0.5000  6 Pd 2.09-2.12
Pd  0.7688  0.9924  0.5000  1 B 2.09
Pd  0.0000  0.8634  0.2356  1 B 2.12
Sr  0.5000  0.7147  0.7188  7 Pd 3.06-3.30
Pd  0.5000  0.1366  0.2644  1 B 2.12
Sr  0.0000  0.2853  0.2188  7 Pd 3.06-3.30
Pb  0.0000  0.6654  0.5000  6 Pd 2.73-2.85
Pd  0.7312  0.0076  0.0000  1 B 2.09
Pd  0.2312  0.9924  0.5000  1 B 2.09
Sr  0.5000  0.7147  0.2812  7 Pd 3.06-3.30
Pd  0.2336  0.6257  0.0000  1 B 2.11
Pd  0.0000  0.8634  0.7644  1 B 2.12
Pd  0.2664  0.3743  0.5000  1 B 2.11
Pd  0.7664  0.6257  0.0000  1 B 2.11
Pd  0.7336  0.3743  0.5000  1 B 2.11
B  0.0000  0.8328  0.0000  6 Pd 2.09-2.12
Pb  0.5000  0.3346  0.0000  6 Pd 2.73-2.85

No. 2
Mn2ReSb: optimized geometry, PBE-GGA.

Formation energy without anion corrections in eV per atom: 0.338

abc: 4.7398 4.7398 4.7398
angles: 131.41 131.43 71.15
Last column: nearest neighbours and their distance in Å.
Fractional positions:
Mn  0.0000  0.0000  0.0000  4 Re 2.74, 4 Sb 2.74, 4 Mn 2.76
Re  0.7500  0.2500  0.5000  8 Mn 2.74, 4 Sb 2.76
Sb  0.2500  0.7500  0.5000  8 Mn 2.74, 4 Re 2.76
Mn  0.5000  0.5000  0.0000  4 Re 2.74, 4 Sb 2.74, 4 Mn 2.76

No. 3
SrLiSe3: optimized geometry, PBE-GGA.

Formation energy without anion corrections in eV per atom: -0.225

abc: 5.8936 5.8936 5.8936
angles: 90.00 90.00 90.00
Last column: nearest neighbours and their distance in Å.
Fractional positions:
Se  0.0000  0.5000  0.0000  2 Sr 2.95
Sr  0.0000  0.0000  0.0000  6 Se 2.95
Li  0.5000  0.5000  0.5000  12 Se 4.17
Se  0.0000  0.0000  0.5000  2 Sr 2.95
Se  0.5000  0.0000  0.0000  2 Sr 2.95

No. 4
PaTi2Ge: optimized geometry, PBE-GGA.

Total DFT energy (no corrections) in eV/atom: -7.800

abc: 3.6520 4.4376 4.4376
angles: 90.00 90.00 90.00
Last column: nearest neighbours and their distance in Å.
Fractional positions:
Ti  0.0000  0.0000  0.5000  4 Ge 2.87, 4 Pa 2.87, 4 Ti 3.14
Ge  0.5000  0.0000  0.0000  8 Ti 2.87, 4 Pa 3.14
Ti  0.0000  0.5000  0.0000  4 Pa 2.87, 4 Ge 2.87, 4 Ti 3.14
Pa  0.5000  0.5000  0.5000  8 Ti 2.87, 4 Ge 3.14